## TlTeHRh2 (PBEsol)

Data for TlTeHRh2 after structural relaxation.

Results
**DOS(E_F)**: 4.2 states/eV/cell
**Space group**: P4/mmm, No. 123
**E**: -19.141 eV per formula unit

a = 4.7895 Å, b = 4.7895 Å, c = 6.2214 Å
α = 90.00°, β = 90.00°, γ = 90.00°
Closest atoms and distances in Å follow each position.
Element x y z (fractional)
1 Tl 0.0000 0.0000 0.0000  2 Te 3.11, 4 H 3.39
2 Te 0.0000 0.0000 0.5000  4 Rh 2.39
3 H 0.5000 0.5000 0.0000  4 Tl 3.39
4 Rh 0.0000 0.5000 0.5000  2 Te 2.39
5 Rh 0.5000 0.0000 0.5000  2 Te 2.39

## Ti2H2Rh (PBEsol)

Data for Ti2H2Rh after structural relaxation.

Results
**DOS(E_F)**: 3.7 states/eV/cell
**Space group**: I4/mmm, No. 139
**E**: -34.426 eV per formula unit

a = 6.1810 Å, b = 6.1810 Å, c = 6.1810 Å
α = 152.78°, β = 152.78°, γ = 38.88°
Closest atoms and distances in Å follow each position.
Element x y z (fractional)
1 Ti 0.1441 0.1441 0.0000  4 H 1.91
2 Ti 0.8559 0.8559 0.0000  4 H 1.91
3 H 0.2500 0.7500 0.5000  4 Ti 1.91, 4 H 2.06
4 H 0.7500 0.2500 0.5000  4 Ti 1.91, 4 H 2.06
5 Rh 0.5000 0.5000 0.0000  8 Ti 2.66, 4 Rh 2.91

## TiH2Rh2 (PBEsol)

Data for TiH2Rh2 after structural relaxation.

Results
**DOS(E_F)**: 1.2 states/eV/cell
**Space group**: I4/mmm, No. 139
**E**: -33.039 eV per formula unit

a = 5.5091 Å, b = 5.5091 Å, c = 5.5091 Å
α = 147.35°, β = 147.35°, γ = 46.85°
Closest atoms and distances in Å follow each position.
Element x y z (fractional)
1 Ti 0.0000 0.0000 0.0000  8 Rh 2.61
2 H 0.2500 0.7500 0.5000  4 Rh 1.90
3 H 0.7500 0.2500 0.5000  4 Rh 1.90
4 Rh 0.3593 0.3593 0.0000  4 H 1.90
5 Rh 0.6407 0.6407 0.0000  4 H 1.90

## TiHRh3 (PBEsol)

Data for TiHRh3 after structural relaxation.

Results
**DOS(E_F)**: 2.0 states/eV/cell
**Space group**: Pm-3m, No. 221
**E**: -38.925 eV per formula unit

a = 3.8481 Å, b = 3.8481 Å, c = 3.8481 Å
α = 90.00°, β = 90.00°, γ = 90.00°
Closest atoms and distances in Å follow each position.
Element x y z (fractional)
1 Ti 0.0000 0.0000 0.0000  12 Rh 2.72
2 H 0.5000 0.5000 0.5000  6 Rh 1.92
3 Rh 0.0000 0.5000 0.5000  2 H 1.92
4 Rh 0.5000 0.0000 0.5000  2 H 1.92
5 Rh 0.5000 0.5000 0.0000  2 H 1.92

## VHRh3 (PBEsol)

Data for VHRh3 after structural relaxation.

Results
**DOS(E_F)**: 3.4 states/eV/cell
**Space group**: Pm-3m, No. 221
**E**: -38.821 eV per formula unit

a = 3.8107 Å, b = 3.8107 Å, c = 3.8107 Å
α = 90.00°, β = 90.00°, γ = 90.00°
Closest atoms and distances in Å follow each position.
Element x y z (fractional)
1 V 0.0000 0.0000 0.0000  12 Rh 2.69
2 H 0.5000 0.5000 0.5000  6 Rh 1.91
3 Rh 0.0000 0.5000 0.5000  2 H 1.91
4 Rh 0.5000 0.0000 0.5000  2 H 1.91
5 Rh 0.5000 0.5000 0.0000  2 H 1.91

## Zn2HRhW (PBEsol)

Data for Zn2HRhW after structural relaxation.

Results
**DOS(E_F)**: 5.8 states/eV/cell
**Space group**: P4/mmm, No. 123
**E**: -19.286 eV per formula unit

a = 4.9934 Å, b = 4.9934 Å, c = 4.5464 Å
α = 90.00°, β = 90.00°, γ = 90.00°
Closest atoms and distances in Å follow each position.
Element x y z (fractional)
1 Zn 0.0000 0.5000 0.0000  2 W 2.50
2 Zn 0.5000 0.0000 0.0000  2 W 2.50
3 H 0.0000 0.0000 0.5000  8 Zn 3.38, 4 Rh 3.53
4 Rh 0.5000 0.5000 0.5000  2 W 2.27
5 W 0.5000 0.5000 0.0000  2 Rh 2.27, 4 Zn 2.50

## Y2H2Rh (PBEsol)

Data for Y2H2Rh after structural relaxation.

Results
**DOS(E_F)**: 1.3 states/eV/cell
**Space group**: I4/mmm, No. 139
**E**: -32.036 eV per formula unit

a = 6.6921 Å, b = 6.6921 Å, c = 6.6921 Å
α = 150.61°, β = 150.61°, γ = 42.05°
Closest atoms and distances in Å follow each position.
Element x y z (fractional)
1 Y 0.1372 0.1372 0.0000  4 H 2.21
2 Y 0.8628 0.8628 0.0000  4 H 2.21
3 H 0.2500 0.7500 0.5000  4 Y 2.21, 4 H 2.40
4 H 0.7500 0.2500 0.5000  4 Y 2.21, 4 H 2.40
5 Rh 0.5000 0.5000 0.0000  8 Y 2.95

## Y3HRh (PBEsol)

Data for Y3HRh after structural relaxation.

Results
**DOS(E_F)**: 5.8 states/eV/cell
**Space group**: Pm-3m, No. 221
**E**: -33.088 eV per formula unit

a = 4.6073 Å, b = 4.6073 Å, c = 4.6073 Å
α = 90.00°, β = 90.00°, γ = 90.00°
Closest atoms and distances in Å follow each position.
Element x y z (fractional)
1 Y 0.0000 0.0000 0.5000  2 H 2.30
2 Y 0.0000 0.5000 0.0000  2 H 2.30
3 Y 0.5000 0.0000 0.0000  2 H 2.30
4 H 0.0000 0.0000 0.0000  6 Y 2.30
5 Rh 0.5000 0.5000 0.5000  12 Y 3.26

## YH2Rh2 (PBEsol)

Data for YH2Rh2 after structural relaxation.

Results
**DOS(E_F)**: 4.3 states/eV/cell
**Space group**: I4/mmm, No. 139
**E**: -31.588 eV per formula unit

a = 5.1400 Å, b = 5.1400 Å, c = 5.1400 Å
α = 139.44°, β = 139.44°, γ = 58.70°
Closest atoms and distances in Å follow each position.
Element x y z (fractional)
1 Y 0.0000 0.0000 0.0000  8 H 2.86, 10 Rh 2.94-2.96
2 H 0.2500 0.7500 0.5000  4 Rh 1.92
3 H 0.7500 0.2500 0.5000  4 Rh 1.92
4 Rh 0.3308 0.3308 0.0000  4 H 1.92
5 Rh 0.6692 0.6692 0.0000  4 H 1.92

## ZnHRh3 (PBEsol)

Data for ZnHRh3 after structural relaxation.

Results
**DOS(E_F)**: 3.5 states/eV/cell
**Space group**: Pm-3m, No. 221
**E**: -29.985 eV per formula unit

a = 3.8293 Å, b = 3.8293 Å, c = 3.8293 Å
α = 90.00°, β = 90.00°, γ = 90.00°
Closest atoms and distances in Å follow each position.
Element x y z (fractional)
1 Zn 0.0000 0.0000 0.0000  12 Rh 2.71
2 H 0.5000 0.5000 0.5000  6 Rh 1.91
3 Rh 0.0000 0.5000 0.5000  2 H 1.91
4 Rh 0.5000 0.0000 0.5000  2 H 1.91
5 Rh 0.5000 0.5000 0.0000  2 H 1.91

## Zn2HRh (PBEsol)

Data for Zn2HRh after structural relaxation.

Results
**DOS(E_F)**: 2.0 states/eV/cell
**Space group**: Fm-3m, No. 225
**E**: -12.915 eV per formula unit

a = 4.0950 Å, b = 4.0950 Å, c = 4.0950 Å
α = 60.00°, β = 60.00°, γ = 60.00°
Closest atoms and distances in Å follow each position.
Element x y z (fractional)
1 Zn 0.2500 0.2500 0.2500  4 H 2.51, 4 Rh 2.51
2 Zn 0.7500 0.7500 0.7500  4 H 2.51, 4 Rh 2.51
3 H 0.0000 0.0000 0.0000  8 Zn 2.51
4 Rh 0.5000 0.5000 0.5000  8 Zn 2.51

## ZrHRh3 (PBEsol)

Data for ZrHRh3 after structural relaxation.

Results
**DOS(E_F)**: 2.0 states/eV/cell
**Space group**: Pm-3m, No. 221
**E**: -40.149 eV per formula unit

a = 3.9437 Å, b = 3.9437 Å, c = 3.9437 Å
α = 90.00°, β = 90.00°, γ = 90.00°
Closest atoms and distances in Å follow each position.
Element x y z (fractional)
1 Zr 0.0000 0.0000 0.0000  12 Rh 2.79
2 H 0.5000 0.5000 0.5000  6 Rh 1.97
3 Rh 0.0000 0.5000 0.5000  2 H 1.97
4 Rh 0.5000 0.0000 0.5000  2 H 1.97
5 Rh 0.5000 0.5000 0.0000  2 H 1.97